[1]
A plane-wave DFT calculation with PBE-GGA was carried out for a relaxed structure of K2TlBr2.

The structure belongs to space group I4/mmm (No. 139); the cell edges are 5.617, 5.617 and 14.368 Å and the angles 90.00°, 90.00° and 90.00°. Symmetry generates all atoms from K at (0.000, 0.500, 0.250), Tl at (0.000, 0.000, 0.000) and Br at (0.000, 0.000, 0.360).

For the offset from the most stable computed form, the calculation gives 0.200 eV/atom. The energy relative to the elements, uncorrected comes out at -4.8 eV per formula unit. The total magnetic moment is 2.0 μB/cell. Its density of states at the Fermi level is 0.58 states/eV per cell.

=====

[2]
A plane-wave DFT calculation with PBE-GGA was carried out for a relaxed structure of MnHg2Sb.

The structure belongs to space group Pmmm (No. 47); the cell edges are 3.507, 4.309 and 5.996 Å and the angles 90.00°, 90.00° and 90.00°. Symmetry generates all atoms from Mn at (0.000, 0.000, 0.000), Hg at (0.500, 0.500, 0.237) and Sb at (0.000, 0.000, 0.500).

The energy relative to the elements, uncorrected comes out at 1.4 eV per formula unit. The total magnetic moment is 4.1 μB/cell. Its density of states at the Fermi level is 2.62 states/eV per cell.

=====

[3]
A plane-wave DFT calculation with PBE-GGA was carried out for a relaxed structure of ScAlBr3.

The structure belongs to space group Pm-3m (No. 221); the cell edges are 5.367, 5.367 and 5.367 Å and the angles 90.00°, 90.00° and 90.00°. Symmetry generates all atoms from Sc at (0.000, 0.000, 0.000), Al at (0.500, 0.500, 0.500) and Br at (0.000, 0.000, 0.500).

For the offset from the most stable computed form, the calculation gives 0.000 eV/atom. The energy relative to the elements, uncorrected comes out at -4.0 eV per formula unit. The total magnetic moment is 0.9 μB/cell. Its density of states at the Fermi level is 2.74 states/eV per cell.

=====

[4]
A plane-wave DFT calculation with PBE-GGA was carried out for a relaxed structure of Er4AsS2.

The structure belongs to space group C2/m (No. 12); the cell edges are 14.611, 3.877 and 6.583 Å and the angles 90.00°, 115.93° and 90.00°. Symmetry generates all atoms from Er at (0.124, 0.000, 0.462), Er at (0.130, 0.500, 0.967), As at (0.000, 0.000, 0.000) and S at (0.243, 0.500, 0.737).

The energy relative to the elements, uncorrected comes out at -10.2 eV per formula unit. The total magnetic moment is 0.0 μB/cell. Its density of states at the Fermi level is 6.77 states/eV per cell.

=====

[5]
A plane-wave DFT calculation with PBE-GGA was carried out for a relaxed structure of Nd2TlGa.

The structure belongs to space group R-3m (No. 166, hexagonal axes); the cell edges are 3.8702, 3.8702 and 27.8545 Å and the angles 90.00°, 90.00° and 120.00°. Symmetry generates all atoms from Nd at (0.0000, 0.0000, 0.2433), Tl at (0.0000, 0.0000, 0.0000) and Ga at (0.0000, 0.0000, 0.5000).

For the offset from the most stable computed form, the calculation gives 0.139 eV/atom. The value obtained for the formation energy is -332 meV/atom. The total magnetic moment is 0.0 μB/cell. Its density of states at the Fermi level is 12.52 states/eV per cell.

=====

[6]
A plane-wave DFT calculation with PBE-GGA was carried out for a relaxed structure of K2TlHg5.

The structure belongs to space group Cmcm (No. 63); the cell edges are 5.070, 18.935 and 11.000 Å and the angles 90.00°, 90.00° and 90.00°. Symmetry generates all atoms from K at (0.000, 0.000, 0.000), K at (0.000, 0.201, 0.250), Tl at (0.000, 0.445, 0.750), Hg at (0.000, 0.193, 0.609), Hg at (0.000, 0.355, 0.523) and Hg at (0.000, 0.396, 0.250).

For the offset from the most stable computed form, the calculation gives 0.000 eV/atom. The value obtained for the formation energy is -181 meV/atom. The total magnetic moment is 0.0 μB/cell. Its density of states at the Fermi level is 11.47 states/eV per cell.

=====

[7]
A plane-wave DFT calculation with PBE-GGA was carried out for a relaxed structure of Nd2HoTl.

The structure belongs to space group P4/mmm (No. 123); the cell edges are 4.906, 4.906 and 5.023 Å and the angles 90.00°, 90.00° and 90.00°. Symmetry generates all atoms from Nd at (0.000, 0.500, 0.000), Ho at (0.000, 0.000, 0.500) and Tl at (0.500, 0.500, 0.500).

For the offset from the most stable computed form, the calculation gives 0.000 eV/atom. The value obtained for the formation energy is -194 meV/atom. The total magnetic moment is 0.0 μB/cell. Its density of states at the Fermi level is 5.94 states/eV per cell.

=====

[8]
A plane-wave DFT calculation with PBE-GGA was carried out for a relaxed structure of CsTaZnI2.

The structure belongs to space group P4/mmm (No. 123); the cell edges are 7.090, 7.090 and 6.589 Å and the angles 90.00°, 90.00° and 90.00°. Symmetry generates all atoms from Cs at (0.000, 0.000, 0.000), Ta at (0.000, 0.000, 0.500), Zn at (0.500, 0.500, 0.500) and I at (0.000, 0.500, 0.000).

The energy relative to the elements, uncorrected comes out at 7.0 eV per formula unit. The total magnetic moment is 4.0 μB/cell. Its density of states at the Fermi level is 9.62 states/eV per cell.